[1]
5
Lattice="-4.7339 -0.8974 -1.6581 1.3907 -4.6879 -1.4333 -1.3649 -1.9129 4.9322" Properties=species:S:1:pos:R:3 comment="SrYPCl2, PBEsol geometry, DFT SCAN" mass_density_g_cm3=3.3 raw_formation_energy_ev_per_atom=-1.81 energy_ev_per_cell=-85.51 volume_a3_per_cell=141.9 pbc="T T T"
Y 0.0000 0.0000 0.0000
Sr -2.3541 -3.7491 0.9204
P -0.6825 -0.9565 2.4661
Cl 0.6954 -2.3439 -0.7167
Cl -2.3670 -0.4487 -0.8291



[2]
5
Lattice="4.9102 0.0000 0.0000 0.0000 4.9102 0.0000 0.0000 0.0000 5.1592" Properties=species:S:1:pos:R:3 comment="SrZrPCl2, PBEsol geometry, DFT SCAN" mass_density_g_cm3=3.7 raw_formation_energy_ev_per_atom=-1.50 energy_ev_per_cell=-86.84 volume_a3_per_cell=124.4 pbc="T T T"
Sr 2.4551 2.4551 2.5796
P 0.0000 0.0000 2.5796
Zr 0.0000 0.0000 0.0000
Cl 0.0000 2.4551 0.0000
Cl 2.4551 0.0000 0.0000



[3]
4
Lattice="2.7411 0.0000 0.0000 0.0000 4.7410 0.0000 0.0000 0.0000 4.7410" Properties=species:S:1:pos:R:3 comment="TaP2Cl, PBEsol geometry, DFT SCAN" mass_density_g_cm3=7.5 raw_formation_energy_ev_per_atom=0.61 energy_ev_per_cell=-92.90 volume_a3_per_cell=61.6 pbc="T T T"
Cl 1.3705 0.0000 0.0000
P 0.0000 0.0000 2.3705
P 0.0000 2.3705 0.0000
Ta 1.3705 2.3705 2.3705



[4]
4
Lattice="4.4522 0.0000 0.0000 2.2261 3.8558 0.0000 2.2261 1.2853 3.6352" Properties=species:S:1:pos:R:3 comment="TaP2Cl, PBEsol geometry, DFT SCAN" mass_density_g_cm3=7.4 raw_formation_energy_ev_per_atom=0.58 energy_ev_per_cell=-93.04 volume_a3_per_cell=62.4 pbc="T T T"
Cl 0.0000 0.0000 0.0000
P 2.2261 1.2853 0.9088
P 6.6784 3.8558 2.7264
Ta 4.4522 2.5705 1.8176



[5]
4
Lattice="2.7751 0.0104 0.0000 -0.6685 2.6934 0.0000 0.0000 0.0000 9.9291" Properties=species:S:1:pos:R:3 comment="TaP2Cl, PBEsol geometry, DFT SCAN" mass_density_g_cm3=6.2 raw_formation_energy_ev_per_atom=0.06 energy_ev_per_cell=-95.10 volume_a3_per_cell=74.3 pbc="T T T"
Cl 1.0533 1.3519 0.0000
P 0.0000 0.0000 3.0736
P 0.0000 0.0000 6.8555
Ta 1.0533 1.3519 4.9645



[6]
24
Lattice="-3.4637 -4.8943 3.6087 0.7263 -2.4736 -6.8614 11.8030 -5.3694 3.2429" Properties=species:S:1:pos:R:3 comment="TaPCl10, PBEsol geometry, DFT SCAN" mass_density_g_cm3=2.9 raw_formation_energy_ev_per_atom=-1.12 energy_ev_per_cell=-340.47 volume_a3_per_cell=654.6 pbc="T T T"
Cl 9.8617 -6.6488 3.5565
Cl -0.7961 -6.0885 -3.5663
Cl 1.0006 -1.8191 -1.1198
Cl 8.0649 -10.9182 1.1100
Cl 1.5555 -3.2618 -4.8058
Cl 7.5101 -9.4755 4.7960
Cl 5.0437 -4.4374 0.3073
Cl 4.0218 -8.2999 -0.3171
Cl 5.1350 -5.7205 -3.4926
Cl 3.9305 -7.0168 3.4828
Cl 7.5185 -4.1261 2.5052
Cl 1.5470 -8.6112 -2.5150
Cl -0.8808 -4.7925 -0.0805
Cl 9.9464 -7.9448 0.0707
Cl 0.9603 -7.1773 0.9348
Cl 8.1053 -5.5600 -0.9446
Cl 1.8068 -4.1776 1.5442
Cl 7.2587 -8.5597 -1.5540
Cl 1.9691 -5.3021 -1.4087
Cl 7.0964 -7.4352 1.3989
P 0.9510 -5.3537 0.2553
P 8.1145 -7.3836 -0.2651
Ta 0.0000 0.0000 0.0000
Ta 5.9015 -2.6847 1.6215



[7]
4
Lattice="-1.4298 -2.1139 1.8038 2.9267 -3.3025 -1.5505 1.2839 2.5623 4.0206" Properties=species:S:1:pos:R:3 comment="TaP2Cl, PBEsol geometry, DFT SCAN" mass_density_g_cm3=7.3 raw_formation_energy_ev_per_atom=0.34 energy_ev_per_cell=-94.01 volume_a3_per_cell=63.6 pbc="T T T"
Cl 0.7485 -2.7082 0.1266
P 2.1053 -0.3701 1.2351
P 0.6420 1.2811 2.0103
Ta -0.7149 -1.0570 0.9019



[8]
5
Lattice="4.6260 0.0000 0.0000 0.0000 4.6260 0.0000 0.0000 0.0000 5.1852" Properties=species:S:1:pos:R:3 comment="TaTePCl2, PBEsol geometry, DFT SCAN" mass_density_g_cm3=6.1 raw_formation_energy_ev_per_atom=-0.07 energy_ev_per_cell=-130.53 volume_a3_per_cell=111.0 pbc="T T T"
Cl 0.0000 2.3130 0.0000
Cl 2.3130 0.0000 0.0000
Te 2.3130 2.3130 2.5926
P 0.0000 0.0000 2.5926
Ta 0.0000 0.0000 0.0000



Repeat the third record exactly.
4
Lattice="2.7411 0.0000 0.0000 0.0000 4.7410 0.0000 0.0000 0.0000 4.7410" Properties=species:S:1:pos:R:3 comment="TaP2Cl, PBEsol geometry, DFT SCAN" mass_density_g_cm3=7.5 raw_formation_energy_ev_per_atom=0.61 energy_ev_per_cell=-92.90 volume_a3_per_cell=61.6 pbc="T T T"
Cl 1.3705 0.0000 0.0000
P 0.0000 0.0000 2.3705
P 0.0000 2.3705 0.0000
Ta 1.3705 2.3705 2.3705



What did the sixth record say?
24
Lattice="-3.4637 -4.8943 3.6087 0.7263 -2.4736 -6.8614 11.8030 -5.3694 3.2429" Properties=species:S:1:pos:R:3 comment="TaPCl10, PBEsol geometry, DFT SCAN" mass_density_g_cm3=2.9 raw_formation_energy_ev_per_atom=-1.12 energy_ev_per_cell=-340.47 volume_a3_per_cell=654.6 pbc="T T T"
Cl 9.8617 -6.6488 3.5565
Cl -0.7961 -6.0885 -3.5663
Cl 1.0006 -1.8191 -1.1198
Cl 8.0649 -10.9182 1.1100
Cl 1.5555 -3.2618 -4.8058
Cl 7.5101 -9.4755 4.7960
Cl 5.0437 -4.4374 0.3073
Cl 4.0218 -8.2999 -0.3171
Cl 5.1350 -5.7205 -3.4926
Cl 3.9305 -7.0168 3.4828
Cl 7.5185 -4.1261 2.5052
Cl 1.5470 -8.6112 -2.5150
Cl -0.8808 -4.7925 -0.0805
Cl 9.9464 -7.9448 0.0707
Cl 0.9603 -7.1773 0.9348
Cl 8.1053 -5.5600 -0.9446
Cl 1.8068 -4.1776 1.5442
Cl 7.2587 -8.5597 -1.5540
Cl 1.9691 -5.3021 -1.4087
Cl 7.0964 -7.4352 1.3989
P 0.9510 -5.3537 0.2553
P 8.1145 -7.3836 -0.2651
Ta 0.0000 0.0000 0.0000
Ta 5.9015 -2.6847 1.6215